This record from Alexandria via LeMat-Bulk describes crystalline Ba2Cr3O7 at its relaxed geometry. The functional is PBE with a Hubbard U.

Output
Symmetry   Pmm2
Calculated total energy   -82.64 eV per cell
Crystal system   orthorhombic
Fermi-level density of states   1.40 states/eV/cell
Total magnetic moment   8.00 μB per cell

Unit cell a=3.875 b=3.801 c=13.909 alpha=90.00 beta=90.00 gamma=90.00
Element x y z (fractional)
O 0.055 0.500 0.619
O 0.751 0.000 0.500
O 0.534 0.500 0.831
O 0.033 0.000 0.171
O 0.055 0.500 0.381
O 0.033 0.000 0.829
O 0.534 0.500 0.169
Ba 0.534 0.000 0.694
Ba 0.534 0.000 0.306
Cr 0.034 0.500 0.149
Cr 0.902 0.500 0.500
Cr 0.034 0.500 0.851